[1]
Er2TiS | the Alexandria database | PBE | relaxed; magnetization = 0.4288 μB/atom; formation energy (no corrections) = -436 meV/atom; N(E_F) = 0.65 states/eV per atom; SG = R-3m (166)
1.0
1.7469 1.0086 9.3300
-1.7469 1.0086 9.3300
0.0000 -2.0172 9.3300
Er Ti S
2 1 1
Direct
0.1052 0.1052 0.1052
0.8948 0.8948 0.8948
0.0000 0.0000 0.0000
0.5000 0.5000 0.5000

[2]
Er3TiS6 | the Alexandria database | PBE | relaxed; magnetization = 0.1001 μB/atom; formation energy (no corrections) = -1841 meV/atom; N(E_F) = 0.59 states/eV per atom; SG = R-3 (148)
1.0
5.5588 3.2094 4.3761
-5.5588 3.2094 4.3761
0.0000 -6.4188 4.3761
Er Ti S
6 2 12
Direct
0.0734 0.7493 0.5811
0.2507 0.4189 0.9266
0.4189 0.9266 0.2507
0.5812 0.0734 0.7493
0.7493 0.5811 0.0734
0.9266 0.2507 0.4188
0.0000 0.0000 0.0000
0.5000 0.5000 0.5000
0.0449 0.6949 0.9178
0.0822 0.9551 0.3051
0.1964 0.4182 0.5776
0.3051 0.0822 0.9551
0.4182 0.5776 0.1964
0.4224 0.8036 0.5818
0.5776 0.1964 0.4182
0.5818 0.4224 0.8036
0.6949 0.9178 0.0449
0.8036 0.5818 0.4224
0.9178 0.0449 0.6949
0.9551 0.3051 0.0822

[3]
ErTiS2 | the Alexandria database | PBE | relaxed; magnetization = 0.0000 μB/atom; formation energy (no corrections) = -1561 meV/atom; N(E_F) = 0.55 states/eV per atom; SG = R-3m (166)
1.0
1.8581 1.0728 5.9596
-1.8581 1.0728 5.9596
0.0000 -2.1456 5.9596
Er Ti S
1 1 2
Direct
0.0000 0.0000 0.0000
0.5000 0.5000 0.5000
0.2425 0.2425 0.2425
0.7575 0.7575 0.7575

[4]
Er2TiS6 | the Alexandria database | PBE | relaxed; magnetization = 0.0000 μB/atom; formation energy (no corrections) = -1388 meV/atom; N(E_F) = 0.23 states/eV per atom; SG = P2_1/c (14)
1.0
6.4458 0.0000 0.0000
0.0000 7.0015 0.0000
-5.5086 0.0000 8.1790
Er Ti S
4 2 12
Direct
0.2006 0.1296 0.2293
0.2006 0.3704 0.7293
0.7994 0.6296 0.2707
0.7994 0.8704 0.7707
0.5000 0.0000 0.0000
0.5000 0.5000 0.5000
0.1156 0.1643 0.9246
0.1156 0.3357 0.4246
0.2944 0.6861 0.9630
0.2944 0.8139 0.4630
0.3762 0.0109 0.7223
0.3762 0.4891 0.2223
0.6238 0.5109 0.7777
0.6238 0.9891 0.2777
0.7056 0.1861 0.5370
0.7056 0.3139 0.0370
0.8844 0.6643 0.5754
0.8844 0.8357 0.0754

[5]
ErTiS2 | the Alexandria database | PBE | relaxed; magnetization = 0.1160 μB/atom; formation energy (no corrections) = -1554 meV/atom; N(E_F) = 0.74 states/eV per atom; SG = R3m (160)
1.0
1.8083 1.0440 6.3615
-1.8083 1.0440 6.3615
0.0000 -2.0881 6.3615
Er Ti S
1 1 2
Direct
0.0000 0.0000 0.0000
0.8228 0.8228 0.8228
0.2377 0.2377 0.2377
0.4217 0.4217 0.4217

[6]
Er3TiTl3S8 | the Alexandria database | PBE | relaxed; magnetization = 0.0000 μB/atom; formation energy (no corrections) = -1429 meV/atom; SG = R-3m (166)
1.0
3.8722 2.2356 7.5942
-3.8722 2.2356 7.5942
0.0000 -4.4712 7.5942
Er Ti Tl S
3 1 3 8
Direct
0.0000 0.5000 0.5000
0.5000 0.0000 0.5000
0.5000 0.5000 0.0000
0.0000 0.0000 0.0000
0.0000 0.0000 0.5000
0.0000 0.5000 0.0000
0.5000 0.0000 0.0000
0.2157 0.2157 0.7550
0.2157 0.7550 0.2157
0.2450 0.7843 0.7843
0.2674 0.2674 0.2674
0.7326 0.7326 0.7326
0.7550 0.2157 0.2157
0.7843 0.2450 0.7843
0.7843 0.7843 0.2450

[7]
Er3TiTl4S8 | the Alexandria database | PBE | relaxed; magnetization = 0.0630 μB/atom; formation energy (no corrections) = -1326 meV/atom; N(E_F) = 0.38 states/eV per atom; SG = R-3m (166)
1.0
3.9051 2.2546 7.5287
-3.9051 2.2546 7.5287
0.0000 -4.5092 7.5287
Er Ti Tl S
3 1 4 8
Direct
0.0000 0.5000 0.5000
0.5000 0.0000 0.5000
0.5000 0.5000 0.0000
0.0000 0.0000 0.0000
0.0000 0.0000 0.5000
0.0000 0.5000 0.0000
0.5000 0.0000 0.0000
0.5000 0.5000 0.5000
0.2217 0.2217 0.7480
0.2217 0.7480 0.2217
0.2520 0.7783 0.7783
0.2671 0.2671 0.2671
0.7329 0.7329 0.7329
0.7480 0.2217 0.2217
0.7783 0.2520 0.7783
0.7783 0.7783 0.2520

[8]
Er2TiTl2S6 | the Alexandria database | PBE | relaxed; magnetization = 0.0000 μB/atom; formation energy (no corrections) = -1409 meV/atom; SG = C2/m (12)
1.0
3.3201 -5.7143 0.0000
3.3201 5.7143 0.0000
-2.2906 0.0000 7.5314
Er Ti Tl S
2 1 2 6
Direct
0.1673 0.8327 0.0000
0.8327 0.1673 0.0000
0.5000 0.5000 0.0000
0.3292 0.6708 0.5000
0.6708 0.3292 0.5000
0.1262 0.4332 0.8100
0.2606 0.2606 0.1909
0.4332 0.1262 0.8100
0.5668 0.8738 0.1900
0.7394 0.7394 0.8091
0.8738 0.5668 0.1900

[9]
Er2TlS4 | the Alexandria database | PBE | relaxed; magnetization = 0.0000 μB/atom; formation energy (no corrections) = -1524 meV/atom; N(E_F) = 0.37 states/eV per atom; SG = Fd-3m (227)
1.0
0.0000 5.7515 5.7515
5.7515 0.0000 5.7515
5.7515 5.7515 0.0000
Er Tl S
4 2 8
Direct
0.0000 0.0000 0.0000
0.0000 0.0000 0.5000
0.0000 0.5000 0.0000
0.5000 0.0000 0.0000
0.3750 0.3750 0.3750
0.6250 0.6250 0.6250
0.2088 0.7637 0.7637
0.2363 0.2363 0.2363
0.2363 0.2363 0.7912
0.2363 0.7912 0.2363
0.7637 0.2088 0.7637
0.7637 0.7637 0.2088
0.7637 0.7637 0.7637
0.7912 0.2363 0.2363

[10]
Er2Tl4S5 | the Alexandria database | PBE | relaxed; magnetization = 0.0000 μB/atom; formation energy (no corrections) = -974 meV/atom; N(E_F) = 0.26 states/eV per atom; SG = R-3m (166)
1.0
2.0144 1.1630 24.6594
-2.0144 1.1630 24.6594
0.0000 -2.3260 24.6594
Er Tl S
2 4 5
Direct
0.1431 0.1431 0.1431
0.8569 0.8569 0.8569
0.3111 0.3111 0.3111
0.4113 0.4113 0.4113
0.5887 0.5887 0.5887
0.6889 0.6889 0.6889
0.2067 0.2067 0.2067
0.3766 0.3766 0.3766
0.5000 0.5000 0.5000
0.6234 0.6234 0.6234
0.7933 0.7933 0.7933

[11]
Er4TlS2 | the Alexandria database | PBE | relaxed; magnetization = 0.0007 μB/atom; formation energy (no corrections) = -1204 meV/atom; N(E_F) = 0.83 states/eV per atom; SG = R-3m (166)
1.0
1.8808 1.0859 14.1295
-1.8808 1.0859 14.1295
0.0000 -2.1717 14.1295
Er Tl S
4 1 2
Direct
0.1330 0.1330 0.1330
0.2771 0.2771 0.2771
0.7229 0.7229 0.7229
0.8670 0.8670 0.8670
0.0000 0.0000 0.0000
0.4268 0.4268 0.4268
0.5732 0.5732 0.5732

[12]
Er5TlS8 | the Alexandria database | PBE | relaxed; magnetization = 0.0000 μB/atom; formation energy (no corrections) = -1880 meV/atom; N(E_F) = 0.00 states/eV per atom; SG = Cm (8)
1.0
10.1726 -1.9749 0.0000
10.1726 1.9749 0.0000
-2.4416 0.0000 9.1912
Er Tl S
5 1 8
Direct
0.0000 0.0000 0.0000
0.0474 0.0474 0.3988
0.3453 0.3453 0.0595
0.6432 0.6432 0.7205
0.6905 0.6905 0.1193
0.8448 0.8448 0.5573
0.1180 0.1180 0.9189
0.1747 0.1747 0.5658
0.2675 0.2675 0.2586
0.4231 0.4231 0.8611
0.5159 0.5159 0.5536
0.5726 0.5726 0.2006
0.7655 0.7655 0.9198
0.9250 0.9250 0.1998